[1]
## V3TcCl (PBE-GGA)

Data for a relaxed structure of V3TcCl.

calculated total energy	-36.3	eV/cell
DOS at the Fermi energy	1.60	states/eV per atom
polymorph energy (0 for the lowest one)	0.00	eV per formula unit
E_form (uncorrected)	0.66	eV per atom

abc: 4.205 4.205 4.205
angles: 90.00 90.00 90.00
Site moments in Bohr magnetons follow the coordinates.
Sites, in units of the cell vectors:
V: 0.000 0.500 0.000  0.35
V: 0.500 0.000 0.000  0.35
V: 0.000 0.000 0.500  0.35
Tc: 0.500 0.500 0.500  -0.27
Cl: 0.000 0.000 0.000  -0.01

=====

[2]
## VTcCl2 (PBE-GGA)

Data for a relaxed structure of VTcCl2.

calculated total energy	-22.9	eV/cell
DOS at the Fermi energy	1.17	states/eV per atom
polymorph energy (0 for the lowest one)	0.00	eV per formula unit
E_form (uncorrected)	0.07	eV per atom

abc: 8.219 8.219 8.219
angles: 20.98 20.98 20.98
Site moments in Bohr magnetons follow the coordinates.
Sites, in units of the cell vectors:
Cl: 0.098 0.098 0.098  0.01
Cl: 0.902 0.902 0.902  0.01
Tc: 0.000 0.000 0.000  0.99
V: 0.500 0.500 0.500  0.52

=====

[3]
## VTcCl3 (PBE-GGA)

Data for a relaxed structure of VTcCl3.

calculated total energy	-24.2	eV/cell
DOS at the Fermi energy	1.02	states/eV per atom
polymorph energy (0 for the lowest one)	0.00	eV per formula unit
E_form (uncorrected)	0.17	eV per atom

abc: 4.877 4.877 4.877
angles: 90.00 90.00 90.00
Site moments in Bohr magnetons follow the coordinates.
Sites, in units of the cell vectors:
V: 0.000 0.000 0.000  2.59
Cl: 0.500 0.000 0.000  0.02
Cl: 0.000 0.500 0.000  0.02
Cl: 0.000 0.000 0.500  0.02
Tc: 0.500 0.500 0.500  3.80

=====

[4]
## V3TcCl (PBE-GGA)

Data for a relaxed structure of V3TcCl.

calculated total energy	-33.7	eV/cell
DOS at the Fermi energy	2.48	states/eV per atom
polymorph energy (0 for the lowest one)	2.56	eV per formula unit
E_form (uncorrected)	1.17	eV per atom

abc: 4.754 4.754 4.754
angles: 90.00 90.00 90.00
Site moments in Bohr magnetons follow the coordinates.
Sites, in units of the cell vectors:
V: 0.500 0.000 0.000  2.06
V: 0.000 0.500 0.000  2.06
V: 0.000 0.000 0.500  2.06
Cl: 0.500 0.500 0.500  0.09
Tc: 0.000 0.000 0.000  -0.62

=====

[5]
## VTcCl2 (PBE-GGA)

Data for a relaxed structure of VTcCl2.

calculated total energy	-42.4	eV/cell
DOS at the Fermi energy	0.74	states/eV per atom
polymorph energy (0 for the lowest one)	1.68	eV per formula unit
E_form (uncorrected)	0.49	eV per atom

abc: 5.227 5.227 6.736
angles: 67.17 67.17 90.00
Site moments in Bohr magnetons follow the coordinates.
Sites, in units of the cell vectors:
V: 0.250 0.750 0.500  2.10
V: 0.500 0.500 0.000  2.10
Cl: 0.375 0.381 0.750  -0.04
Cl: 0.875 0.869 0.750  -0.04
Cl: 0.619 0.125 0.250  -0.04
Cl: 0.131 0.625 0.250  -0.04
Tc: 0.000 0.000 0.000  -0.78
Tc: 0.750 0.250 0.500  -0.78

=====

[6]
## YVTcCl2 (PBE-GGA)

Data for a relaxed structure of YVTcCl2.

calculated total energy	-26.0	eV/cell
DOS at the Fermi energy	1.39	states/eV per atom
E_form (uncorrected)	0.72	eV per atom

abc: 5.074 6.278 5.074
angles: 90.00 90.00 90.00
Site moments in Bohr magnetons follow the coordinates.
Sites, in units of the cell vectors:
Cl: 0.000 0.000 0.500  0.04
Cl: 0.500 0.000 0.000  0.03
Y: 0.000 0.000 0.000  0.22
Tc: 0.500 0.500 0.500  3.42
V: 0.000 0.500 0.000  3.02

=====

[7]
## TcWCl (PBE-GGA)

Data for a relaxed structure of TcWCl.

calculated total energy	-24.1	eV/cell
DOS at the Fermi energy	1.05	states/eV per atom
polymorph energy (0 for the lowest one)	0.00	eV per formula unit
E_form (uncorrected)	0.34	eV per atom

abc: 2.962 2.962 6.337
angles: 90.00 90.00 120.00
Sites, in units of the cell vectors:
W: 0.333 0.667 0.663
Tc: 0.667 0.333 0.354
Cl: 0.000 0.000 0.983

=====

[8]
## TcWCl2 (PBE-GGA)

Data for a relaxed structure of TcWCl2.

calculated total energy	-26.3	eV/cell
DOS at the Fermi energy	0.68	states/eV per atom
polymorph energy (0 for the lowest one)	1.60	eV per formula unit
E_form (uncorrected)	0.17	eV per atom

abc: 9.202 9.202 9.202
angles: 160.38 160.95 27.48
Sites, in units of the cell vectors:
Cl: 0.018 0.018 0.000
Cl: 0.730 0.230 0.500
Tc: 0.425 0.425 0.000
W: 0.326 0.826 0.500

=====

[9]
## TcWCl2 (PBE-GGA)

Data for a relaxed structure of TcWCl2.

calculated total energy	-25.2	eV/cell
DOS at the Fermi energy	0.67	states/eV per atom
polymorph energy (0 for the lowest one)	2.70	eV per formula unit
E_form (uncorrected)	0.44	eV per atom

abc: 2.996 3.892 6.616
angles: 90.00 90.00 90.00
Sites, in units of the cell vectors:
Cl: 0.000 0.000 0.907
Cl: 0.500 0.500 0.343
Tc: 0.000 0.000 0.543
W: 0.500 0.500 0.707

=====

[10]
## Tc2WCl (PBE-GGA)

Data for a relaxed structure of Tc2WCl.

calculated total energy	-33.5	eV/cell
DOS at the Fermi energy	0.48	states/eV per atom
polymorph energy (0 for the lowest one)	0.94	eV per formula unit
E_form (uncorrected)	0.52	eV per atom

abc: 4.046 2.859 5.473
angles: 75.76 90.00 90.00
Sites, in units of the cell vectors:
Tc: 0.000 0.875 0.011
Tc: 0.500 0.277 0.218
Cl: 0.500 0.632 0.777
W: 0.000 0.715 0.494

=====

[11]
## Tc2WCl (PBE-GGA)

Data for a relaxed structure of Tc2WCl.

calculated total energy	-33.8	eV/cell
DOS at the Fermi energy	0.91	states/eV per atom
polymorph energy (0 for the lowest one)	0.58	eV per formula unit
E_form (uncorrected)	0.43	eV per atom

abc: 2.902 2.902 7.092
angles: 90.00 90.00 90.00
Sites, in units of the cell vectors:
Tc: 0.000 0.000 0.005
Tc: 0.500 0.500 0.246
W: 0.000 0.000 0.503
Cl: 0.500 0.500 0.747

=====

[12]
## TcWCl2 (PBE-GGA)

Data for a relaxed structure of TcWCl2.

calculated total energy	-22.8	eV/cell
DOS at the Fermi energy	0.88	states/eV per atom
polymorph energy (0 for the lowest one)	5.14	eV per formula unit
E_form (uncorrected)	1.05	eV per atom

abc: 4.533 4.533 4.533
angles: 60.00 60.00 60.00
Site moments in Bohr magnetons follow the coordinates.
Sites, in units of the cell vectors:
Cl: 0.000 0.000 0.000  0.05
Cl: 0.750 0.750 0.750  -0.06
W: 0.250 0.250 0.250  -0.85
Tc: 0.500 0.500 0.500  1.03

=====

[13]
## Tc2WCl (PBE-GGA)

Data for a relaxed structure of Tc2WCl.

calculated total energy	-31.7	eV/cell
DOS at the Fermi energy	1.57	states/eV per atom
polymorph energy (0 for the lowest one)	2.66	eV per formula unit
E_form (uncorrected)	0.95	eV per atom

abc: 4.437 4.437 4.437
angles: 60.00 60.00 60.00
Sites, in units of the cell vectors:
Tc: 0.250 0.250 0.250
Tc: 0.750 0.750 0.750
W: 0.500 0.500 0.500
Cl: 0.000 0.000 0.000

=====

[14]
## Tc2WCl (PBE-GGA)

Data for a relaxed structure of Tc2WCl.

calculated total energy	-33.2	eV/cell
DOS at the Fermi energy	0.78	states/eV per atom
polymorph energy (0 for the lowest one)	1.18	eV per formula unit
E_form (uncorrected)	0.58	eV per atom

abc: 5.228 5.228 4.292
angles: 88.75 88.75 32.95
Sites, in units of the cell vectors:
Tc: 0.241 0.241 0.213
Tc: 0.965 0.965 0.035
W: 0.543 0.543 0.477
Cl: 0.751 0.751 0.775

=====

[15]
## TcWCl2 (PBE-GGA)

Data for a relaxed structure of TcWCl2.

calculated total energy	-21.8	eV/cell
DOS at the Fermi energy	0.81	states/eV per atom
polymorph energy (0 for the lowest one)	6.14	eV per formula unit
E_form (uncorrected)	1.30	eV per atom

abc: 4.874 4.874 4.874
angles: 130.92 130.92 71.94
Site moments in Bohr magnetons follow the coordinates.
Sites, in units of the cell vectors:
Tc: 0.250 0.750 0.500  2.00
Cl: 0.500 0.500 0.000  0.05
Cl: 0.000 0.000 0.000  0.05
W: 0.750 0.250 0.500  -0.33

=====

[16]
## Tc2WCl (PBE-GGA)

Data for a relaxed structure of Tc2WCl.

calculated total energy	-32.3	eV/cell
DOS at the Fermi energy	0.96	states/eV per atom
polymorph energy (0 for the lowest one)	2.09	eV per formula unit
E_form (uncorrected)	0.81	eV per atom

abc: 2.898 4.619 4.494
angles: 90.00 90.00 90.00
Sites, in units of the cell vectors:
Cl: 0.000 0.500 0.500
Tc: 0.000 0.000 0.000
Tc: 0.500 0.500 0.000
W: 0.500 0.000 0.500

=====

[17]
## TcWCl2 (PBE-GGA)

Data for a relaxed structure of TcWCl2.

calculated total energy	-21.7	eV/cell
DOS at the Fermi energy	1.03	states/eV per atom
polymorph energy (0 for the lowest one)	6.23	eV per formula unit
E_form (uncorrected)	1.33	eV per atom

abc: 3.905 4.007 4.007
angles: 90.00 90.00 90.00
Site moments in Bohr magnetons follow the coordinates.
Sites, in units of the cell vectors:
Cl: 0.000 0.000 0.000  -0.01
Cl: 0.000 0.500 0.500  -0.01
W: 0.500 0.000 0.500  0.45
Tc: 0.500 0.500 0.000  -0.24

=====

[18]
## TcWCl3 (PBE-GGA)

Data for a relaxed structure of TcWCl3.

calculated total energy	-24.0	eV/cell
DOS at the Fermi energy	1.51	states/eV per atom
polymorph energy (0 for the lowest one)	0.00	eV per formula unit
E_form (uncorrected)	0.97	eV per atom

abc: 4.906 4.906 4.906
angles: 90.00 90.00 90.00
Site moments in Bohr magnetons follow the coordinates.
Sites, in units of the cell vectors:
Tc: 0.500 0.500 0.500  3.83
Cl: 0.500 0.000 0.000  0.09
Cl: 0.000 0.500 0.000  0.05
Cl: 0.000 0.000 0.500  0.04
W: 0.000 0.000 0.000  1.74

=====

[19]
## TcWCl2 (PBE-GGA)

Data for a relaxed structure of TcWCl2.

calculated total energy	-27.1	eV/cell
DOS at the Fermi energy	0.60	states/eV per atom
polymorph energy (0 for the lowest one)	0.81	eV per formula unit
E_form (uncorrected)	-0.03	eV per atom

abc: 9.777 9.777 9.777
angles: 17.65 17.65 17.65
Sites, in units of the cell vectors:
Cl: 0.024 0.024 0.024
Cl: 0.225 0.225 0.225
Tc: 0.496 0.496 0.496
W: 0.755 0.755 0.755

=====

[20]
## Tc2WCl (PBE-GGA)

Data for a relaxed structure of Tc2WCl.

calculated total energy	-34.4	eV/cell
DOS at the Fermi energy	0.45	states/eV per atom
polymorph energy (0 for the lowest one)	0.00	eV per formula unit
E_form (uncorrected)	0.28	eV per atom

abc: 8.620 8.620 8.620
angles: 19.37 19.37 19.37
Sites, in units of the cell vectors:
Tc: 0.001 0.001 0.001
Tc: 0.499 0.499 0.499
W: 0.250 0.250 0.250
Cl: 0.750 0.750 0.750